*i*
First-principles (PBE) data for a geometry-optimized Tb2PmTm9 structure, as listed in Alexandria.

* symmetry: P6/mmm
* crystal system: hexagonal

Cell: 3.4851 11.0963 11.0963 Å, 120.00 90.00 90.00°
Last column: nearest neighbours and their distance in Å.
Positions (direct):
Tm: 0.0000 0.5000 0.5000  2 Tb 3.20, 10 Tm 3.49-3.56
Tm: 0.0000 0.0000 0.5000  2 Tb 3.20, 10 Tm 3.49-3.56
Tm: 0.5000 0.8223 0.1777  8 Tm 3.42-3.56, 2 Tb 3.46
Tm: 0.5000 0.8223 0.6445  8 Tm 3.42-3.56, 2 Tb 3.46
Tm: 0.5000 0.1777 0.8223  8 Tm 3.42-3.56, 2 Tb 3.46
Tm: 0.0000 0.5000 0.0000  2 Tb 3.20, 10 Tm 3.49-3.56
Tm: 0.5000 0.1777 0.3555  8 Tm 3.42-3.56, 2 Tb 3.46
Tm: 0.5000 0.3555 0.1777  8 Tm 3.42-3.56, 2 Tb 3.46
Tm: 0.5000 0.6445 0.8223  8 Tm 3.42-3.56, 2 Tb 3.46
Pm: 0.0000 0.0000 0.0000  2 Pm 3.49, 12 Tm 3.83
Tb: 0.0000 0.6667 0.3333  9 Tm 3.20-3.46, 2 Tb 3.49
Tb: 0.0000 0.3333 0.6667  9 Tm 3.20-3.46, 2 Tb 3.49

*ii*
First-principles (PBE) data for a geometry-optimized Tb2PmTm9 structure, as listed in Alexandria.

* symmetry: P4/mmm
* crystal system: tetragonal

Cell: 5.8100 5.8100 11.0179 Å, 90.00 90.00 90.00°
Last column: nearest neighbours and their distance in Å.
Positions (direct):
Tb: 0.0000 0.0000 0.3342  8 Tm 3.43, 1 Tb 3.65, 1 Pm 3.68
Tb: 0.0000 0.0000 0.6658  8 Tm 3.43, 1 Tb 3.65, 1 Pm 3.68
Tm: 0.5000 0.5000 0.6665  10 Tm 3.43-3.67
Tm: 0.0000 0.5000 0.5000  4 Tb 3.43, 6 Tm 3.44-3.65
Tm: 0.5000 0.5000 0.3335  10 Tm 3.43-3.67
Tm: 0.5000 0.0000 0.5000  4 Tb 3.43, 6 Tm 3.44-3.65
Tm: 0.5000 0.0000 0.8312  6 Tm 3.43-3.72, 2 Tb 3.43, 2 Pm 3.45
Tm: 0.0000 0.5000 0.8312  6 Tm 3.43-3.72, 2 Tb 3.43, 2 Pm 3.45
Tm: 0.5000 0.5000 0.0000  10 Tm 3.45-3.67
Tm: 0.5000 0.0000 0.1688  6 Tm 3.43-3.72, 2 Tb 3.43, 2 Pm 3.45
Tm: 0.0000 0.5000 0.1688  6 Tm 3.43-3.72, 2 Tb 3.43, 2 Pm 3.45
Pm: 0.0000 0.0000 0.0000  8 Tm 3.45, 2 Tb 3.68

Stability verdict: *i*, ahead by 80 meV/atom

*i*
First-principles (PBE) data for a geometry-optimized Tb8Pm4Tm3 structure, as listed in Alexandria.

* symmetry: R-3m
* crystal system: trigonal

Cell: 6.9455 6.9455 12.4846 Å, 73.85 73.85 60.00°
Last column: nearest neighbours and their distance in Å.
Positions (direct):
Tb: 0.2446 0.2446 0.2663  1 Pm 3.26, 3 Tm 3.41, 6 Tb 3.48
Tb: 0.2506 0.2506 0.7456  6 Tb 3.45-3.49, 2 Tm 3.53, 3 Pm 3.53-3.61
Tb: 0.2467 0.7494 0.2544  6 Tb 3.45-3.49, 2 Tm 3.53, 3 Pm 3.53-3.61
Tb: 0.7533 0.2506 0.7456  6 Tb 3.45-3.49, 2 Tm 3.53, 3 Pm 3.53-3.61
Tb: 0.7554 0.7554 0.7337  1 Pm 3.26, 3 Tm 3.41, 6 Tb 3.48
Tb: 0.2506 0.7533 0.7456  6 Tb 3.45-3.49, 2 Tm 3.53, 3 Pm 3.53-3.61
Tb: 0.7494 0.7494 0.2544  6 Tb 3.45-3.49, 2 Tm 3.53, 3 Pm 3.53-3.61
Tb: 0.7494 0.2467 0.2544  6 Tb 3.45-3.49, 2 Tm 3.53, 3 Pm 3.53-3.61
Pm: 0.0000 0.0000 0.0000  6 Tb 3.61, 6 Pm 4.01
Pm: 0.5000 0.5000 0.5000  6 Tm 3.47, 6 Tb 3.53
Pm: 0.6635 0.6635 0.0094  4 Tb 3.26-3.53
Pm: 0.3365 0.3365 0.9906  4 Tb 3.26-3.53
Tm: 0.0000 0.5000 0.5000  6 Tb 3.41-3.53, 4 Tm 3.47, 2 Pm 3.47
Tm: 0.5000 0.0000 0.5000  6 Tb 3.41-3.53, 4 Tm 3.47, 2 Pm 3.47
Tm: 0.0000 0.0000 0.5000  6 Tb 3.41-3.53, 2 Pm 3.47, 4 Tm 3.47

*ii*
First-principles (PBE) data for a geometry-optimized Tb8Pm4Tm3 structure, as listed in Alexandria.

* symmetry: C2/m
* crystal system: monoclinic

Cell: 6.7580 9.2861 9.2861 Å, 87.11 111.48 111.48°
Last column: nearest neighbours and their distance in Å.
Positions (direct):
Tb: 0.0010 0.2720 0.2720  3 Pm 3.21-3.51, 1 Tm 3.21, 4 Tb 3.23-3.56
Tb: 0.9990 0.7280 0.7280  3 Pm 3.21-3.51, 1 Tm 3.21, 4 Tb 3.23-3.56
Tb: 0.5166 0.2658 0.2658  3 Tm 3.20-3.21, 2 Tb 3.23-3.53, 2 Pm 3.52
Tb: 0.0000 0.3602 0.6398  7 Tb 3.56-3.66, 4 Tm 3.64-3.82, 2 Pm 3.65
Tb: 0.5000 0.2550 0.7450  3 Tm 3.14-3.37, 3 Pm 3.26-3.35
Tb: 0.0000 0.6398 0.3602  7 Tb 3.56-3.66, 4 Tm 3.64-3.82, 2 Pm 3.65
Tb: 0.4834 0.7342 0.7342  3 Tm 3.20-3.21, 2 Tb 3.23-3.53, 2 Pm 3.52
Tb: 0.5000 0.7450 0.2550  3 Tm 3.14-3.37, 3 Pm 3.26-3.35
Tm: 0.5000 0.5000 0.0000  4 Tb 3.20-3.37, 2 Pm 3.38
Tm: 0.5000 0.0000 0.5000  4 Tb 3.20-3.37, 2 Pm 3.38
Tm: 0.5000 0.5000 0.5000  6 Tb 3.14-3.21
Pm: 0.5000 0.0000 0.0000  6 Tb 3.26-3.52, 2 Pm 3.38
Pm: 0.0000 0.5000 0.0000  4 Tb 3.21-3.35, 2 Tm 3.38
Pm: 0.0000 0.0000 0.5000  4 Tb 3.21-3.35, 2 Tm 3.38
Pm: 0.0000 0.0000 0.0000  2 Pm 3.38, 4 Tb 3.52-3.66

Stability verdict: *i*, ahead by 248 meV/atom

*i*
First-principles (PBE) data for a geometry-optimized Tb3PmTm2 structure, as listed in Alexandria.

* symmetry: C2/m
* crystal system: monoclinic

Cell: 3.4946 10.2061 11.6397 Å, 108.18 98.63 90.00°
Last column: nearest neighbours and their distance in Å.
Positions (direct):
Tb: 0.3040 0.2852 0.6080  3 Pm 3.42-3.54, 3 Tm 3.44-3.46, 5 Tb 3.47-3.62
Tb: 0.0672 0.7662 0.1345  8 Tb 3.49-3.70, 2 Tm 3.57-3.81, 2 Pm 3.66
Tb: 0.9328 0.2338 0.8655  8 Tb 3.49-3.70, 2 Tm 3.57-3.81, 2 Pm 3.66
Tb: 0.5602 0.4418 0.1203  8 Tb 3.34-3.70, 3 Tm 3.35-3.60
Tb: 0.4398 0.5582 0.8797  8 Tb 3.34-3.70, 3 Tm 3.35-3.60
Tb: 0.6960 0.7148 0.3920  3 Pm 3.42-3.54, 3 Tm 3.44-3.46, 5 Tb 3.47-3.62
Tm: 0.9304 0.8593 0.8608  5 Tm 3.49-3.56, 4 Tb 3.57-3.81, 2 Pm 3.57
Tm: 0.0696 0.1407 0.1392  5 Tm 3.49-3.56, 4 Tb 3.57-3.81, 2 Pm 3.57
Tm: 0.6932 0.3739 0.3865  1 Pm 3.34, 4 Tb 3.35-3.46, 6 Tm 3.49-3.54
Tm: 0.3068 0.6261 0.6135  1 Pm 3.34, 4 Tb 3.35-3.46, 6 Tm 3.49-3.54
Pm: 0.3156 0.9592 0.6312  3 Tm 3.34-3.57, 5 Tb 3.42-3.66, 2 Pm 3.49
Pm: 0.6844 0.0408 0.3688  3 Tm 3.34-3.57, 5 Tb 3.42-3.66, 2 Pm 3.49

*ii*
First-principles (PBE) data for a geometry-optimized Tb3PmTm2 structure, as listed in Alexandria.

* symmetry: P-1
* crystal system: triclinic

Cell: 7.1575 10.1585 7.1527 Å, 79.88 119.95 121.84°
Last column: nearest neighbours and their distance in Å.
Positions (direct):
Tm: 0.3025 0.6648 0.8602  3 Tm 3.49-3.58, 8 Tb 3.49-3.59, 1 Pm 3.53
Tm: 0.6975 0.3358 0.6403  7 Tb 3.49-3.59, 3 Tm 3.49-3.58, 2 Pm 3.53-3.55
Tm: 0.3025 0.6642 0.3597  7 Tb 3.49-3.59, 3 Tm 3.49-3.58, 2 Pm 3.53-3.55
Tm: 0.6975 0.3352 0.1398  3 Tm 3.49-3.58, 8 Tb 3.49-3.59, 1 Pm 3.53
Pm: 0.7472 0.9981 0.7493  3 Tm 3.53-3.55, 7 Tb 3.54-3.59, 2 Pm 3.57-3.59
Pm: 0.2528 0.0019 0.2507  3 Tm 3.53-3.55, 7 Tb 3.54-3.59, 2 Pm 3.57-3.59
Tb: 0.7481 0.9987 0.2491  3 Tm 3.53-3.54, 5 Tb 3.53-3.59, 4 Pm 3.57-3.59
Tb: 0.8038 0.6639 0.8609  6 Tm 3.49-3.59, 4 Tb 3.50-3.58, 2 Pm 3.54-3.56
Tb: 0.8044 0.6646 0.3610  6 Tm 3.50-3.59, 5 Tb 3.50-3.58, 1 Pm 3.56
Tb: 0.1956 0.3354 0.6390  6 Tm 3.50-3.59, 5 Tb 3.50-3.58, 1 Pm 3.56
Tb: 0.1962 0.3361 0.1391  6 Tm 3.49-3.59, 4 Tb 3.50-3.58, 2 Pm 3.54-3.56
Tb: 0.2519 0.0013 0.7509  3 Tm 3.53-3.54, 5 Tb 3.53-3.59, 4 Pm 3.57-3.59

Stability verdict: *ii*, ahead by 128 meV/atom

*i*
First-principles (PBE) data for a geometry-optimized TbPm2Tm2 structure, as listed in Alexandria.

* symmetry: C2/m
* crystal system: monoclinic

Cell: 3.5693 3.5710 14.9539 Å, 96.78 83.15 60.02°
Last column: nearest neighbours and their distance in Å.
Positions (direct):
Tb: 0.5000 0.5000 0.5000  6 Tm 3.52, 6 Tb 3.57
Pm: 0.2273 0.4406 0.1048  3 Tm 3.55, 9 Pm 3.57-3.69
Pm: 0.7727 0.5594 0.8952  3 Tm 3.55, 9 Pm 3.57-3.69
Tm: 0.3621 0.9720 0.3038  3 Tb 3.52, 3 Pm 3.55, 6 Tm 3.57
Tm: 0.6379 0.0280 0.6962  3 Tb 3.52, 3 Pm 3.55, 6 Tm 3.57

*ii*
First-principles (PBE) data for a geometry-optimized TbPm2Tm2 structure, as listed in Alexandria.

* symmetry: C2/m
* crystal system: monoclinic

Cell: 5.0380 6.1683 12.8683 Å, 108.59 78.71 65.90°
Last column: nearest neighbours and their distance in Å.
Positions (direct):
Tm: 0.7011 0.2496 0.3481  2 Tm 3.55-3.61, 8 Pm 3.56-3.59, 2 Tb 3.57
Tm: 0.0995 0.7511 0.0499  3 Pm 3.54, 5 Tb 3.54-3.56, 4 Tm 3.55-3.57
Tm: 0.2989 0.7504 0.6519  2 Tm 3.55-3.61, 8 Pm 3.56-3.59, 2 Tb 3.57
Tm: 0.9005 0.2489 0.9501  3 Pm 3.54, 5 Tb 3.54-3.56, 4 Tm 3.55-3.57
Pm: 0.5019 0.7492 0.2469  6 Tm 3.54-3.57, 3 Tb 3.55-3.57, 3 Pm 3.59-3.62
Pm: 0.4981 0.2508 0.7531  6 Tm 3.54-3.57, 3 Tb 3.55-3.57, 3 Pm 3.59-3.62
Pm: 0.0980 0.2527 0.5512  6 Pm 3.56-3.62, 5 Tm 3.56-3.59, 1 Tb 3.58
Pm: 0.9020 0.7473 0.4488  6 Pm 3.56-3.62, 5 Tm 3.56-3.59, 1 Tb 3.58
Tb: 0.3024 0.2479 0.1474  1 Tb 3.52, 7 Tm 3.54-3.57, 4 Pm 3.55-3.58
Tb: 0.6976 0.7521 0.8526  1 Tb 3.52, 7 Tm 3.54-3.57, 4 Pm 3.55-3.58

Stability verdict: *ii*, ahead by 8 meV/atom

*i*
First-principles (PBE) data for a geometry-optimized Tb3Pm2Tm4 structure, as listed in Alexandria.

* symmetry: C2/c
* crystal system: monoclinic

Cell: 6.0936 11.2195 11.2195 Å, 61.81 62.30 62.30°
Last column: nearest neighbours and their distance in Å.
Positions (direct):
Tm: 0.5753 0.0942 0.8141  1 Pm 3.29, 3 Tm 3.35-3.55, 4 Tb 3.36-3.48
Tm: 0.5849 0.4213 0.1448  1 Tm 3.28, 4 Tb 3.33-3.55, 3 Pm 3.40-3.58
Tm: 0.9247 0.1859 0.9058  1 Pm 3.29, 3 Tm 3.35-3.55, 4 Tb 3.36-3.48
Tm: 0.4247 0.9058 0.1859  1 Pm 3.29, 3 Tm 3.35-3.55, 4 Tb 3.36-3.48
Tm: 0.9151 0.8552 0.5787  1 Tm 3.28, 4 Tb 3.33-3.55, 3 Pm 3.40-3.58
Tm: 0.0849 0.1448 0.4213  1 Tm 3.28, 4 Tb 3.33-3.55, 3 Pm 3.40-3.58
Tm: 0.4151 0.5787 0.8552  1 Tm 3.28, 4 Tb 3.33-3.55, 3 Pm 3.40-3.58
Tm: 0.0753 0.8141 0.0942  1 Pm 3.29, 3 Tm 3.35-3.55, 4 Tb 3.36-3.48
Tb: 0.7284 0.7383 0.9333  7 Tm 3.33-3.72, 2 Pm 3.46-3.47
Tb: 0.2716 0.2617 0.0667  7 Tm 3.33-3.72, 2 Pm 3.46-3.47
Tb: 0.2500 0.5974 0.4026  4 Pm 3.43-3.50, 4 Tm 3.48-3.55, 2 Tb 3.79
Tb: 0.7716 0.0667 0.2617  7 Tm 3.33-3.72, 2 Pm 3.46-3.47
Tb: 0.2284 0.9333 0.7383  7 Tm 3.33-3.72, 2 Pm 3.46-3.47
Tb: 0.7500 0.4026 0.5974  4 Pm 3.43-3.50, 4 Tm 3.48-3.55, 2 Tb 3.79
Pm: 0.4253 0.2324 0.5197  4 Tm 3.29-3.58, 4 Tb 3.43-3.50
Pm: 0.9253 0.5197 0.2324  4 Tm 3.29-3.58, 4 Tb 3.43-3.50
Pm: 0.0747 0.4803 0.7676  4 Tm 3.29-3.58, 4 Tb 3.43-3.50
Pm: 0.5747 0.7676 0.4803  4 Tm 3.29-3.58, 4 Tb 3.43-3.50

*ii*
First-principles (PBE) data for a geometry-optimized Tb3Pm2Tm4 structure, as listed in Alexandria.

* symmetry: C2/m
* crystal system: monoclinic

Cell: 5.0152 7.9363 14.6506 Å, 144.48 90.00 108.42°
Last column: nearest neighbours and their distance in Å.
Positions (direct):
Tm: 0.6689 0.3379 0.0011  5 Tm 3.51-3.54, 5 Tb 3.53-3.56, 2 Pm 3.54-3.56
Tm: 0.8909 0.7818 0.6684  5 Tm 3.51-3.57, 4 Tb 3.53-3.55, 3 Pm 3.54-3.56
Tm: 0.3311 0.6621 0.9989  5 Tm 3.51-3.54, 5 Tb 3.53-3.56, 2 Pm 3.54-3.56
Tm: 0.1091 0.2182 0.3316  5 Tm 3.51-3.57, 4 Tb 3.53-3.55, 3 Pm 3.54-3.56
Tb: 0.0000 0.0000 0.0000  4 Pm 3.54, 6 Tm 3.55-3.56, 2 Tb 3.56
Tb: 0.5542 0.1083 0.6667  6 Tm 3.53-3.55, 4 Pm 3.56-3.57, 2 Tb 3.56-3.58
Tb: 0.4458 0.8917 0.3333  6 Tm 3.53-3.55, 4 Pm 3.56-3.57, 2 Tb 3.56-3.58
Pm: 0.2250 0.4500 0.6689  6 Tb 3.54-3.57, 5 Tm 3.54-3.56, 1 Pm 3.59
Pm: 0.7750 0.5500 0.3311  6 Tb 3.54-3.57, 5 Tm 3.54-3.56, 1 Pm 3.59

Stability verdict: *ii*, ahead by 77 meV/atom